No. 1
Below is an optimized crystal structure of ZrRhSe2F, with properties calculated at the PBE-GGA level.

The structure in POSCAR format:
```
ZrRhSe2F
1.0
5.2098 0.0000 0.0000
0.0000 5.2098 0.0000
0.0000 0.0000 4.0817
Zr Rh Se F
1 1 2 1
Cartesian
0.0000 0.0000 0.0000
2.6049 2.6049 2.0409
0.0000 2.6049 0.0000
2.6049 0.0000 0.0000
0.0000 0.0000 2.0409
```

space group	P4/mmm (123)
E_form (uncorrected)	-0.81	eV per atom


No. 2
Below is an optimized crystal structure of Sr2TaTl, with properties calculated at the PBE-GGA level.

The structure in POSCAR format:
```
Sr2TaTl
1.0
5.5732 0.0000 0.0000
0.0000 5.5732 0.0000
0.0000 0.0000 4.1289
Sr Ta Tl
2 1 1
Cartesian
0.0000 2.7866 0.0000
2.7866 0.0000 0.0000
0.0000 0.0000 2.0644
2.7866 2.7866 2.0644
```

space group	P4/mmm (123)
ΔE_f	0.67	eV/atom
excess energy over the best structure of this formula in the dataset	0.584	eV/f.u.


No. 3
Below is an optimized crystal structure of NpAu2Cl6, with properties calculated at the PBE-GGA level.

The structure in POSCAR format:
```
NpAu2Cl6
1.0
7.0488 -7.0312 0.0000
7.0488 7.0312 0.0000
-1.2722 0.0000 6.7238
Np Au Cl
2 4 12
Cartesian
6.0947 5.8898 5.0429
6.7308 -5.8898 1.6810
4.5909 0.0080 4.6637
5.2270 -0.0080 1.3018
7.5985 0.0080 5.4220
8.2346 -0.0080 2.0601
0.6785 0.8343 4.1466
4.3873 4.2064 5.6843
1.3146 -0.8343 0.7847
4.8157 1.5660 2.9569
7.8021 4.2064 4.4014
4.1796 -1.5660 6.3188
8.6458 1.5660 0.4050
5.0234 -4.2064 2.3224
8.0098 -1.5660 3.7669
11.5109 0.8343 5.9391
8.4382 -4.2064 1.0395
12.1470 -0.8343 2.5772
```

space group	C2/c (15)
E_form (uncorrected)	-0.97	eV per atom


No. 4
Below is an optimized crystal structure of TcSnH2W, with properties calculated at the PBE-GGA level.

The structure in POSCAR format:
```
TcSnH2W
1.0
3.1185 0.0000 0.0000
0.0000 3.1213 0.0000
0.0000 0.0000 6.2690
Tc Sn H W
1 1 2 1
Cartesian
0.0000 0.0000 0.0000
0.0000 1.5606 2.3172
1.5592 0.0000 0.9103
1.5592 0.0000 3.7413
1.5592 1.5606 4.7468
```

space group	Pmm2 (25)
excess energy over the best structure of this formula in the dataset	0.251	eV/f.u.


No. 5
Below is an optimized crystal structure of Rb2LiAsBr6, with properties calculated at the PBE-GGA level.

The structure in POSCAR format:
```
Rb2LiAsBr6
1.0
7.5816 0.0000 0.0000
-0.0005 7.5816 0.0000
-3.7900 -3.7902 5.6721
Rb Li As Br
2 1 1 6
Cartesian
0.0000 0.0000 0.0000
3.7890 3.7924 0.0000
-0.0018 3.7893 2.4660
3.7907 0.0009 2.8234
-1.9075 1.8919 2.9244
-1.9002 -1.8818 2.9177
1.9074 -1.8890 2.9116
1.9004 1.8848 2.9178
3.7946 0.0051 0.2577
3.7860 -0.0033 5.6178
```

space group	P1 (1)
E_form (uncorrected)	-1.17	eV per atom


No. 6
Below is an optimized crystal structure of NaBeSnAu3, with properties calculated at the PBE-GGA level.

The structure in POSCAR format:
```
NaBeSnAu3
1.0
3.1310 -7.0838 0.0000
3.1310 7.0838 0.0000
-1.7764 0.0000 5.4967
Na Be Sn Au
2 2 2 6
Cartesian
1.7987 3.7442 4.1226
2.6869 -3.7442 1.3742
2.6869 6.9189 1.3742
1.7987 -6.9189 4.1226
2.6869 1.7741 1.3742
1.7987 -1.7741 4.1226
2.6869 4.5225 1.3742
0.7056 0.8330 3.1214
1.5938 -0.8330 0.3731
2.8918 0.8330 5.1237
3.7800 -0.8330 2.3753
1.7987 -4.5225 4.1226
```

space group	C2/c (15)
ΔE_f	-0.16	eV/atom


Number 1: volume 22.2 Å³ per atom. Number 2: volume 32.1 Å³ per atom. Number 3: volume 37.0 Å³ per atom. Number 4: volume 12.2 Å³ per atom. Number 5: volume 32.6 Å³ per atom. Number 6: volume 20.3 Å³ per atom.